Density functional theory data (PBE) for a relaxed CaTl2Co crystal.

Properties
Total DFT energy (no corrections)   -13.1 eV for the cell shown
N(E_F)   3.3 states/eV per cell

Unit cell a=3.780 b=4.374 c=6.452 alpha=70.05 beta=90.00 gamma=90.00
Each line ends with the local moment (μB).
Fractional coordinates of all 4 atoms:
Co  0.500  0.970  0.683  1.08
Ca  0.000  0.526  0.574  -0.04
Tl  0.000  0.816  0.994  -0.01
Tl  0.500  0.188  0.249  0.00